[1]
The following is a DFT calculation (PBE) of an optimized crystal structure of Sr2ZrV.

abc: 8.9816 8.9816 7.1092
angles: 50.82 50.82 90.00
With the nearest neighbours (Å) after each atom.
Sites, in units of the cell vectors:
Sr 0.5948 0.1250 0.2500  2 V 3.09, 2 Sr 3.24, 2 Zr 3.47
Sr 0.1552 0.6250 0.2500  2 V 3.09, 2 Sr 3.24, 2 Zr 3.47
Sr 0.3750 0.4052 0.7500  2 V 3.09, 2 Sr 3.24, 2 Zr 3.47
Sr 0.8750 0.8448 0.7500  2 V 3.09, 2 Sr 3.24, 2 Zr 3.47
Zr 0.0000 0.0000 0.0000  2 V 3.19, 4 Sr 3.47
Zr 0.7500 0.2500 0.5000  2 V 3.19, 4 Sr 3.47
V 0.5000 0.5000 0.0000  4 Sr 3.09, 2 Zr 3.19
V 0.2500 0.7500 0.5000  4 Sr 3.09, 2 Zr 3.19

SG   I-42d
Raw total energy   -4.10 eV per atom
Offset from the most stable computed form   0.194 eV/atom
Calculated volume   32.2 Å³ per atom

---

[2]
The following is a DFT calculation (PBE) of an optimized crystal structure of Cr2PtI.

abc: 5.9956 5.9956 7.6799
angles: 67.02 67.02 90.00
With the nearest neighbours (Å) after each atom.
Sites, in units of the cell vectors:
I 0.5000 0.5000 0.0000  4 Cr 2.83
I 0.2500 0.7500 0.5000  4 Cr 2.83
Cr 0.6723 0.1250 0.2500  2 Pt 2.51
Cr 0.0777 0.6250 0.2500  2 Pt 2.51
Cr 0.3750 0.3277 0.7500  2 Pt 2.51
Cr 0.8750 0.9223 0.7500  2 Pt 2.51
Pt 0.0000 0.0000 0.0000  4 Cr 2.51
Pt 0.7500 0.2500 0.5000  4 Cr 2.51

SG   I-42d
Raw total energy   -6.02 eV per atom
Offset from the most stable computed form   0.000 eV/atom
Calculated volume   28.8 Å³ per atom

---

[3]
The following is a DFT calculation (PBE) of an optimized crystal structure of YZrBr2.

abc: 4.9551 4.9551 6.0103
angles: 79.15 79.15 40.90
With the nearest neighbours (Å) after each atom.
Sites, in units of the cell vectors:
Y 0.2500 0.2500 0.2500  6 Br 3.02-3.12
Br 0.0073 0.0073 0.9827  3 Zr 2.96-3.00, 3 Y 3.02-3.12, 2 Br 3.32
Br 0.4927 0.4927 0.5173  3 Zr 2.96-3.00, 3 Y 3.02-3.12, 2 Br 3.32
Zr 0.7500 0.7500 0.7500  6 Br 2.96-3.00

SG   C2/m
Raw total energy   -5.23 eV per atom
Offset from the most stable computed form   0.423 eV/atom
Calculated volume   23.7 Å³ per atom

---

[4]
The following is a DFT calculation (PBE) of an optimized crystal structure of CaZnGa4Cu2.

abc: 4.2662 4.2662 9.4109
angles: 76.90 76.90 60.00
With the nearest neighbours (Å) after each atom.
Sites, in units of the cell vectors:
Ca 0.0000 0.0000 0.0000  8 Ga 3.08-3.32
Zn 0.5000 0.5000 0.5000  8 Ga 2.69-2.75
Ga 0.4014 0.4014 0.7958  3 Cu 2.60, 1 Zn 2.69, 3 Ga 2.87
Ga 0.8782 0.8782 0.3653  3 Cu 2.54, 3 Zn 2.75
Ga 0.1218 0.1218 0.6347  3 Cu 2.54, 3 Zn 2.75
Ga 0.5986 0.5986 0.2042  3 Cu 2.60, 1 Zn 2.69, 3 Ga 2.87
Cu 0.7655 0.7655 0.7035  6 Ga 2.54-2.60
Cu 0.2345 0.2345 0.2965  6 Ga 2.54-2.60

SG   R-3m
Raw total energy   -3.10 eV per atom
Calculated volume   17.9 Å³ per atom

---

[5]
The following is a DFT calculation (PBE) of an optimized crystal structure of Nd6Cd2Au.

abc: 6.4057 8.4414 10.5073
angles: 90.00 85.17 90.00
With the nearest neighbours (Å) after each atom.
Sites, in units of the cell vectors:
Nd 0.8566 0.9487 0.2380  1 Au 3.01, 2 Cd 3.27-3.30
Nd 0.8558 0.6533 0.5392  1 Au 3.09, 2 Cd 3.19-3.27, 2 Nd 3.25-3.44
Nd 0.8855 0.7106 0.9473  1 Au 3.06, 2 Cd 3.30-3.34
Nd 0.6145 0.2106 0.5527  1 Au 3.06, 2 Cd 3.30-3.34
Nd 0.6442 0.1533 0.9608  1 Au 3.09, 2 Cd 3.19-3.27, 2 Nd 3.25-3.44
Nd 0.6434 0.4487 0.2620  1 Au 3.01, 2 Cd 3.27-3.30
Nd 0.1434 0.0513 0.7620  1 Au 3.01, 2 Cd 3.27-3.30
Nd 0.1442 0.3467 0.4608  1 Au 3.09, 2 Cd 3.19-3.27, 2 Nd 3.25-3.44
Nd 0.1145 0.2894 0.0527  1 Au 3.06, 2 Cd 3.30-3.34
Nd 0.3855 0.7894 0.4473  1 Au 3.06, 2 Cd 3.30-3.34
Nd 0.3558 0.8467 0.0392  1 Au 3.09, 2 Cd 3.19-3.27, 2 Nd 3.25-3.44
Nd 0.3566 0.5513 0.7380  1 Au 3.01, 2 Cd 3.27-3.30
Cd 0.8893 0.3916 0.7662  8 Nd 3.19-3.55, 1 Au 3.47
Cd 0.6107 0.8916 0.7338  8 Nd 3.19-3.55, 1 Au 3.47
Cd 0.3893 0.1084 0.2662  8 Nd 3.19-3.55, 1 Au 3.47
Cd 0.1107 0.6084 0.2338  8 Nd 3.19-3.55, 1 Au 3.47
Au 0.5000 0.5000 0.0000  6 Nd 3.01-3.09
Au 0.0000 0.0000 0.5000  6 Nd 3.01-3.09

SG   P2_1/c
Raw total energy   -3.94 eV per atom
Calculated volume   31.5 Å³ per atom

---

[6]
The following is a DFT calculation (PBE) of an optimized crystal structure of Dy2LuIn.

abc: 3.5416 3.5416 9.2279
angles: 90.00 90.00 90.00
With the nearest neighbours (Å) after each atom.
Sites, in units of the cell vectors:
Lu 0.5000 0.5000 0.5000  8 Dy 3.52, 4 Lu 3.54
In 0.5000 0.5000 0.0000  8 Dy 3.29, 4 In 3.54
Dy 0.0000 0.0000 0.7685  4 In 3.29, 4 Lu 3.52, 4 Dy 3.54
Dy 0.0000 0.0000 0.2315  4 In 3.29, 4 Lu 3.52, 4 Dy 3.54

SG   P4/mmm
Raw total energy   -4.34 eV per atom
Offset from the most stable computed form   0.038 eV/atom
Calculated volume   28.9 Å³ per atom

---

[7]
The following is a DFT calculation (PBE) of an optimized crystal structure of Sc2NbHgH.

abc: 4.5023 4.5023 4.1063
angles: 90.00 90.00 90.00
With the nearest neighbours (Å) after each atom.
Sites, in units of the cell vectors:
Sc 0.0000 0.5000 0.0000  2 H 2.25
Sc 0.5000 0.0000 0.0000  2 H 2.25
H 0.0000 0.0000 0.0000  2 Nb 2.05, 4 Sc 2.25
Nb 0.0000 0.0000 0.5000  2 H 2.05
Hg 0.5000 0.5000 0.5000  8 Sc 3.05, 4 Nb 3.18

SG   P4/mmm
Raw total energy   -5.50 eV per atom
Calculated volume   16.6 Å³ per atom

---

[8]
The following is a DFT calculation (PBE) of an optimized crystal structure of Pr4Sm5Y4.

abc: 5.1305 9.6410 9.6410
angles: 85.94 74.57 74.57
With the nearest neighbours (Å) after each atom.
Sites, in units of the cell vectors:
Pr 0.9226 0.4602 0.6945  4 Y 3.62-3.64, 3 Sm 3.64-3.68, 5 Pr 3.66-3.69
Pr 0.6172 0.3055 0.4602  4 Y 3.62-3.64, 3 Sm 3.64-3.68, 5 Pr 3.66-3.69
Pr 0.0774 0.5398 0.3055  4 Y 3.62-3.64, 3 Sm 3.64-3.68, 5 Pr 3.66-3.69
Pr 0.3828 0.6945 0.5398  4 Y 3.62-3.64, 3 Sm 3.64-3.68, 5 Pr 3.66-3.69
Sm 0.6901 0.8493 0.7705  4 Sm 3.61-3.62, 5 Y 3.62-3.66, 3 Pr 3.64-3.68
Sm 0.3099 0.1507 0.2295  4 Sm 3.61-3.62, 5 Y 3.62-3.66, 3 Pr 3.64-3.68
Sm 0.0000 0.0000 0.0000  8 Sm 3.62, 4 Y 3.64
Sm 0.5394 0.7705 0.1507  4 Sm 3.61-3.62, 5 Y 3.62-3.66, 3 Pr 3.64-3.68
Sm 0.4606 0.2295 0.8493  4 Sm 3.61-3.62, 5 Y 3.62-3.66, 3 Pr 3.64-3.68
Y 0.7698 0.3838 0.0766  6 Sm 3.62-3.66, 4 Pr 3.62-3.64, 2 Y 3.64
Y 0.2302 0.6162 0.9234  6 Sm 3.62-3.66, 4 Pr 3.62-3.64, 2 Y 3.64
Y 0.8464 0.9234 0.3838  6 Sm 3.62-3.66, 4 Pr 3.62-3.64, 2 Y 3.64
Y 0.1536 0.0766 0.6162  6 Sm 3.62-3.66, 4 Pr 3.62-3.64, 2 Y 3.64

SG   I4/m
Raw total energy   -5.26 eV per atom
Calculated volume   34.1 Å³ per atom